1.
VASP calculation (GGA-PBE) on a geometry-optimized PrCoSi2Ni structure.

Summary:
Crystal system ... tetragonal
Uncorrected energy ... -6.41 eV/atom
Spin magnetization ... 1.170 μB/f.u.

a b c (Å): 4.025 4.025 9.838
angles (deg): 90.00 90.00 90.00
Space group I-4m2 (No. 119)
Symmetry-distinct sites (fractional):
Pr 0.000 0.000 0.000 [2 per cell]
Co 0.000 0.500 0.250 [2 per cell]
Si 0.000 0.000 0.369 [4 per cell]
Ni 0.000 0.500 0.750 [2 per cell]



2.
VASP calculation (GGA-PBE) on a geometry-optimized Tm3Sc3NiTe2 structure.

Summary:
Crystal system ... hexagonal
Uncorrected energy ... -5.63 eV/atom
Spin magnetization ... 0.532 μB/f.u.

a b c (Å): 7.9455 7.9455 3.8744
angles (deg): 90.00 90.00 120.00
Space group P-62m (No. 189)
Symmetry-distinct sites (fractional):
Tm 0.0000 0.3925 0.0000 [3 per cell]
Sc 0.0000 0.7675 0.5000 [3 per cell]
Ni 0.0000 0.0000 0.0000 [1 per cell]
Te 0.3333 0.6667 0.5000 [2 per cell]



3.
VASP calculation (GGA-PBE) on a geometry-optimized Hf4TlCuN2 structure.

Summary:
Crystal system ... hexagonal
Uncorrected energy ... -8.71 eV/atom
Spin magnetization ... 0.003 μB/f.u.

a b c (Å): 3.2466 3.2466 14.0611
angles (deg): 90.00 90.00 120.00
Space group P-6m2 (No. 187)
Symmetry-distinct sites (fractional):
Hf 0.0000 0.0000 0.1475 [2 per cell]
Hf 0.3333 0.6667 0.3240 [2 per cell]
Tl 0.0000 0.0000 0.5000 [1 per cell]
Cu 0.3333 0.6667 0.0000 [1 per cell]
N 0.6667 0.3333 0.2363 [2 per cell]



4.
VASP calculation (GGA-PBE) on a geometry-optimized LiReGeTe structure.

Summary:
Crystal system ... cubic
Uncorrected energy ... -5.34 eV/atom
Spin magnetization ... 0.003 μB/f.u.

a b c (Å): 6.435 6.435 6.435
angles (deg): 90.00 90.00 90.00
Space group F-43m (No. 216)
Symmetry-distinct sites (fractional):
Li 0.000 0.000 0.000 [4 per cell]
Re 0.000 0.000 0.500 [4 per cell]
Ge 0.250 0.250 0.250 [4 per cell]
Te 0.250 0.250 0.750 [4 per cell]



5.
VASP calculation (GGA-PBE) on a geometry-optimized HoNbN2O structure.

Summary:
Crystal system ... triclinic
Uncorrected energy ... -9.02 eV/atom
Spin magnetization ... 0.000 μB/f.u.

a b c (Å): 5.457 5.519 5.893
angles (deg): 91.59 116.69 119.25
Space group P1 (No. 1)
Symmetry-distinct sites (fractional):
Ho 0.000 0.000 0.000 [1 per cell]
Ho 0.450 0.723 0.182 [1 per cell]
Nb 0.044 0.542 0.525 [1 per cell]
Nb 0.457 0.226 0.658 [1 per cell]
N 0.206 0.385 0.361 [1 per cell]
N 0.491 0.916 0.820 [1 per cell]
N 0.909 0.557 0.830 [1 per cell]
N 0.951 0.784 0.331 [1 per cell]
O 0.277 0.323 0.848 [1 per cell]
O 0.559 0.147 0.355 [1 per cell]



6.
VASP calculation (GGA-PBE) on a geometry-optimized Lu2CoBi structure.

Summary:
Crystal system ... cubic
Uncorrected energy ... -4.88 eV/atom
Spin magnetization ... 0.648 μB/f.u.

a b c (Å): 7.096 7.096 7.096
angles (deg): 90.00 90.00 90.00
Space group F-43m (No. 216)
Symmetry-distinct sites (fractional):
Lu 0.000 0.000 0.000 [4 per cell]
Lu 0.250 0.250 0.250 [4 per cell]
Co 0.250 0.250 0.750 [4 per cell]
Bi 0.000 0.000 0.500 [4 per cell]



7.
VASP calculation (GGA-PBE) on a geometry-optimized BPdNO structure.

Summary:
Crystal system ... orthorhombic
Uncorrected energy ... -6.96 eV/atom

a b c (Å): 2.708 5.743 4.557
angles (deg): 90.00 90.00 90.00
Space group Pmc2_1 (No. 26)
Symmetry-distinct sites (fractional):
B 0.000 0.127 0.000 [2 per cell]
Pd 0.500 0.394 0.519 [2 per cell]
N 0.500 0.260 0.931 [2 per cell]
O 0.000 0.083 0.324 [2 per cell]



8.
VASP calculation (GGA-PBE) on a geometry-optimized SmAsN2O structure.

Summary:
Crystal system ... triclinic
Uncorrected energy ... -7.00 eV/atom
Spin magnetization ... 0.000 μB/f.u.

a b c (Å): 5.314 5.433 5.728
angles (deg): 94.58 110.99 118.30
Space group P1 (No. 1)
Symmetry-distinct sites (fractional):
Sm 0.000 0.000 0.000 [1 per cell]
Sm 0.474 0.736 0.266 [1 per cell]
As 0.095 0.600 0.641 [1 per cell]
As 0.422 0.214 0.680 [1 per cell]
N 0.184 0.388 0.451 [1 per cell]
N 0.488 0.935 0.869 [1 per cell]
N 0.891 0.498 0.856 [1 per cell]
N 0.982 0.854 0.510 [1 per cell]
O 0.393 0.388 0.952 [1 per cell]
O 0.461 0.131 0.377 [1 per cell]



9.
VASP calculation (GGA-PBE) on a geometry-optimized SmYH4 structure.

Summary:
Crystal system ... tetragonal
Uncorrected energy ... -4.79 eV/atom
Spin magnetization ... 0.001 μB/f.u.

a b c (Å): 3.717 3.717 5.265
angles (deg): 90.00 90.00 90.00
Space group P4/mmm (No. 123)
Symmetry-distinct sites (fractional):
Sm 0.000 0.000 0.000 [1 per cell]
Y 0.500 0.500 0.500 [1 per cell]
H 0.000 0.500 0.259 [4 per cell]



10.
VASP calculation (GGA-PBE) on a geometry-optimized NdSm2Ga2Co4 structure.

Summary:
Crystal system ... monoclinic
Uncorrected energy ... -5.72 eV/atom
Spin magnetization ... 1.143 μB/f.u.

a b c (Å): 10.046 4.104 8.165
angles (deg): 90.00 99.66 90.00
Space group C2/m (No. 12)
Symmetry-distinct sites (fractional):
Nd 0.000 0.000 0.000 [2 per cell]
Sm 0.127 0.500 0.375 [4 per cell]
Ga 0.177 0.500 0.776 [4 per cell]
Co 0.079 0.000 0.624 [4 per cell]
Co 0.243 0.500 0.081 [4 per cell]



11.
VASP calculation (GGA-PBE) on a geometry-optimized BeFeSnPt structure.

Summary:
Crystal system ... cubic
Uncorrected energy ... -5.57 eV/atom
Spin magnetization ... 1.433 μB/f.u.

a b c (Å): 6.106 6.106 6.106
angles (deg): 90.00 90.00 90.00
Space group F-43m (No. 216)
Symmetry-distinct sites (fractional):
Be 0.000 0.000 0.000 [4 per cell]
Fe 0.250 0.250 0.750 [4 per cell]
Sn 0.000 0.000 0.500 [4 per cell]
Pt 0.250 0.250 0.250 [4 per cell]



12.
VASP calculation (GGA-PBE) on a geometry-optimized Cu7Ag3 structure.

Summary:
Crystal system ... triclinic
Calculated formation energy ... 87 meV/atom
Uncorrected energy ... -3.36 eV/atom

a b c (Å): 4.651 4.657 7.117
angles (deg): 102.26 108.73 99.92
Space group P1 (No. 1)
Symmetry-distinct sites (fractional):
Cu 0.000 0.000 0.000 [1 per cell]
Cu 0.009 0.492 0.480 [1 per cell]
Cu 0.212 0.591 0.193 [1 per cell]
Cu 0.422 0.709 0.910 [1 per cell]
Cu 0.599 0.782 0.586 [1 per cell]
Cu 0.618 0.296 0.098 [1 per cell]
Cu 0.801 0.872 0.283 [1 per cell]
Ag 0.200 0.078 0.695 [1 per cell]
Ag 0.409 0.185 0.383 [1 per cell]
Ag 0.818 0.414 0.802 [1 per cell]



13.
VASP calculation (GGA-PBE) on a geometry-optimized ZrAg structure.

Summary:
Crystal system ... orthorhombic
Calculated formation energy ... 131 meV/atom
Uncorrected energy ... -5.56 eV/atom
Spin magnetization ... 0.003 μB/f.u.

a b c (Å): 4.984 12.130 5.343
angles (deg): 90.00 90.00 90.00
Space group Pmmn (No. 59, origin choice 2)
Symmetry-distinct sites (fractional):
Zr 0.250 0.001 0.130 [4 per cell]
Zr 0.250 0.619 0.648 [4 per cell]
Ag 0.250 0.132 0.650 [4 per cell]
Ag 0.250 0.250 0.150 [2 per cell]
Ag 0.250 0.750 0.145 [2 per cell]



14.
VASP calculation (GGA-PBE) on a geometry-optimized Nd3AlNi8 structure.

Summary:
Crystal system ... hexagonal
Uncorrected energy ... -5.56 eV/atom
Spin magnetization ... 0.003 μB/f.u.

a b c (Å): 5.1460 5.1460 16.2169
angles (deg): 90.00 90.00 120.00
Space group P6_3/mmc (No. 194)
Symmetry-distinct sites (fractional):
Nd 0.3333 0.6667 0.0452 [4 per cell]
Nd 0.3333 0.6667 0.2500 [2 per cell]
Al 0.0000 0.0000 0.0000 [2 per cell]
Ni 0.0000 0.0000 0.2500 [2 per cell]
Ni 0.1680 0.3359 0.6268 [12 per cell]
Ni 0.3333 0.6667 0.7500 [2 per cell]



15.
VASP calculation (GGA-PBE) on a geometry-optimized GdSnSeO structure.

Summary:
Crystal system ... trigonal
Uncorrected energy ... -5.63 eV/atom
Spin magnetization ... 0.002 μB/f.u.

a b c (Å): 4.8346 4.8346 29.5775
angles (deg): 90.00 90.00 120.00
Space group R-3m (No. 166, hexagonal axes)
Symmetry-distinct sites (fractional):
Gd 0.0000 0.0000 0.2258 [6 per cell]
Sn 0.0000 0.0000 0.3709 [6 per cell]
Se 0.0000 0.0000 0.1227 [6 per cell]
O 0.0000 0.0000 0.2999 [6 per cell]



16.
VASP calculation (GGA-PBE) on a geometry-optimized Rb2Sn2Hg3S8 structure.

Summary:
Crystal system ... triclinic
Uncorrected energy ... -3.43 eV/atom

a b c (Å): 6.845 8.028 9.427
angles (deg): 109.00 91.95 109.89
Space group P-1 (No. 2)
Symmetry-distinct sites (fractional):
Rb 0.112 0.466 0.247 [2 per cell]
Sn 0.255 0.161 0.761 [2 per cell]
Hg 0.338 0.088 0.380 [2 per cell]
Hg 0.500 0.000 0.000 [1 per cell]
S 0.080 0.845 0.158 [2 per cell]
S 0.262 0.852 0.623 [2 per cell]
S 0.355 0.361 0.611 [2 per cell]
S 0.496 0.298 0.003 [2 per cell]



17.
VASP calculation (GGA-PBE) on a geometry-optimized SmLuZn structure.

Summary:
Crystal system ... cubic
Calculated formation energy ... 19 meV/atom
Uncorrected energy ... -3.48 eV/atom
Spin magnetization ... 0.006 μB/f.u.

a b c (Å): 6.976 6.976 6.976
angles (deg): 90.00 90.00 90.00
Space group F-43m (No. 216)
Symmetry-distinct sites (fractional):
Sm 0.000 0.000 0.000 [4 per cell]
Lu 0.000 0.000 0.500 [4 per cell]
Zn 0.250 0.250 0.750 [4 per cell]



18.
VASP calculation (GGA-PBE) on a geometry-optimized AlMo4C3 structure.

Summary:
Crystal system ... hexagonal
Uncorrected energy ... -9.32 eV/atom
Spin magnetization ... 0.004 μB/f.u.

a b c (Å): 3.1098 3.1098 23.3413
angles (deg): 90.00 90.00 120.00
Space group P6_3/mmc (No. 194)
Symmetry-distinct sites (fractional):
Al 0.3333 0.6667 0.2500 [2 per cell]
Mo 0.0000 0.0000 0.1545 [4 per cell]
Mo 0.3333 0.6667 0.0564 [4 per cell]
C 0.0000 0.0000 0.0000 [2 per cell]
C 0.3333 0.6667 0.6103 [4 per cell]



19.
VASP calculation (GGA-PBE) on a geometry-optimized PrNd3Cu4 structure.

Summary:
Crystal system ... monoclinic
Calculated formation energy ... -182 meV/atom
Uncorrected energy ... -4.42 eV/atom
Spin magnetization ... 0.051 μB/f.u.

a b c (Å): 5.597 4.576 7.350
angles (deg): 90.00 90.15 90.00
Space group Pm (No. 6)
Symmetry-distinct sites (fractional):
Pr 0.000 0.000 0.000 [1 per cell]
Nd 0.262 0.500 0.360 [1 per cell]
Nd 0.500 0.500 0.859 [1 per cell]
Nd 0.761 0.000 0.500 [1 per cell]
Cu 0.007 0.500 0.711 [1 per cell]
Cu 0.254 0.000 0.645 [1 per cell]
Cu 0.507 0.000 0.147 [1 per cell]
Cu 0.752 0.500 0.214 [1 per cell]



20.
VASP calculation (GGA-PBE) on a geometry-optimized ScFeSbPt structure.

Summary:
Crystal system ... cubic
Uncorrected energy ... -6.67 eV/atom
Spin magnetization ... 1.892 μB/f.u.

a b c (Å): 6.471 6.471 6.471
angles (deg): 90.00 90.00 90.00
Space group F-43m (No. 216)
Symmetry-distinct sites (fractional):
Sc 0.000 0.000 0.000 [4 per cell]
Fe 0.250 0.250 0.750 [4 per cell]
Sb 0.000 0.000 0.500 [4 per cell]
Pt 0.250 0.250 0.250 [4 per cell]



21.
VASP calculation (GGA-PBE) on a geometry-optimized LiTmMgHg structure.

Summary:
Crystal system ... cubic
Uncorrected energy ... -2.36 eV/atom
Spin magnetization ... 0.000 μB/f.u.

a b c (Å): 6.961 6.961 6.961
angles (deg): 90.00 90.00 90.00
Space group F-43m (No. 216)
Symmetry-distinct sites (fractional):
Li 0.000 0.000 0.000 [4 per cell]
Tm 0.250 0.250 0.250 [4 per cell]
Mg 0.250 0.250 0.750 [4 per cell]
Hg 0.000 0.000 0.500 [4 per cell]



22.
VASP calculation (GGA-PBE) on a geometry-optimized Cu2Ag3 structure.

Summary:
Crystal system ... monoclinic
Calculated formation energy ... 99 meV/atom
Uncorrected energy ... -3.08 eV/atom

a b c (Å): 4.875 13.955 4.862
angles (deg): 90.00 109.90 90.00
Space group C2/c (No. 15)
Symmetry-distinct sites (fractional):
Cu 0.000 0.045 0.250 [4 per cell]
Cu 0.000 0.141 0.750 [4 per cell]
Ag 0.000 0.244 0.250 [4 per cell]
Ag 0.000 0.350 0.750 [4 per cell]
Ag 0.000 0.449 0.250 [4 per cell]



23.
VASP calculation (GGA-PBE) on a geometry-optimized LaDyPu structure.

Summary:
Crystal system ... cubic
Calculated formation energy ... 719 meV/atom
Uncorrected energy ... -7.16 eV/atom
Spin magnetization ... 6.828 μB/f.u.

a b c (Å): 7.346 7.346 7.346
angles (deg): 90.00 90.00 90.00
Space group F-43m (No. 216)
Symmetry-distinct sites (fractional):
La 0.000 0.000 0.000 [4 per cell]
Dy 0.250 0.250 0.750 [4 per cell]
Pu 0.250 0.250 0.250 [4 per cell]



24.
VASP calculation (GGA-PBE) on a geometry-optimized DyAs2C structure.

Summary:
Crystal system ... orthorhombic
Uncorrected energy ... -5.48 eV/atom
Spin magnetization ... 0.002 μB/f.u.

a b c (Å): 4.508 5.906 6.106
angles (deg): 90.00 90.00 90.00
Space group P222_1 (No. 17)
Symmetry-distinct sites (fractional):
Dy 0.010 0.000 0.000 [2 per cell]
As 0.199 0.500 0.500 [2 per cell]
As 0.500 0.169 0.750 [2 per cell]
C 0.000 0.332 0.250 [2 per cell]



Computed volume (Å³/cell) in order:
159.4 211.8 128.4 266.5 131.2 357.3 70.9 129.5 72.7 331.9 227.7 137.8 323.0 371.9 598.7 454.5 339.5 195.5 188.3 271.0 337.3 311.0 396.4 162.5